4
Lattice="1.987 1.147 11.033 -1.987 1.147 11.033 0.000 -2.294 11.033" Properties=species:S:1:pos:R:3 comment="RbTe2Br (PBE, relaxed)" total_energy_ev_per_cell=-9.085 polymorph_energy_mev_per_atom=601 crystal_system=trigonal n_ef_per_ev_cell=3.063 pbc="T T T"
Rb 0.000 0.000 0.000
Te 0.000 0.000 13.820
Te 0.000 0.000 19.278
Br 0.000 0.000 16.549